The following is a PBE calculation of a geometry-optimized K2ScCd2 structure, from Alexandria via LeMat-Bulk.

Cell: 7.7568 7.7568 5.9955 Å, 90.00 90.00 90.00°
Atoms (fractional coordinates):
K (0.1760, 0.3240, 0.0000)
K (0.3240, 0.8240, 0.0000)
K (0.6760, 0.1760, 0.0000)
K (0.8240, 0.6760, 0.0000)
Sc (0.0000, 0.0000, 0.5000)
Sc (0.5000, 0.5000, 0.5000)
Cd (0.1339, 0.6339, 0.5000)
Cd (0.3661, 0.1339, 0.5000)
Cd (0.6339, 0.8661, 0.5000)
Cd (0.8661, 0.3661, 0.5000)

magnetic moment = 1.71 Bohr magnetons per cell
space-group type = P4/mbm, No. 127
final energy = -1.882 eV/atom
E_form = 0.190 eV per atom
calculated volume = 180 Å³/f.u.